1:
## HfNbCN (PBE)

Data for HfNbCN after structural relaxation. Values from VASP.

Quantum ESPRESSO input file:
```
&SYSTEM
  ibrav = 0, nat = 4, ntyp = 4
/
ATOMIC_SPECIES
C 12.01 C.upf
N 14.01 N.upf
Nb 92.91 Nb.upf
Hf 178.49 Hf.upf
CELL_PARAMETERS angstrom
-0.7396 1.0084 2.9064
0.8442 -3.0141 -0.4616
5.4481 1.6661 -0.9149
ATOMIC_POSITIONS crystal
C 0.4686 0.1323 0.6161
N 0.1310 0.9634 0.1096
Nb 0.9640 0.3800 0.3592
Hf 0.3143 0.5551 0.8847
```

Output
SG   R3m
Density of states at the Fermi level   0.1 states/eV/f.u.

---

2:
## HfNbCN (PBE)

Data for HfNbCN after structural relaxation. Values from VASP.

Quantum ESPRESSO input file:
```
&SYSTEM
  ibrav = 0, nat = 4, ntyp = 4
/
ATOMIC_SPECIES
C 12.01 C.upf
Hf 178.49 Hf.upf
Nb 92.91 Nb.upf
N 14.01 N.upf
CELL_PARAMETERS angstrom
-0.3583 -5.5622 0.2040
1.4721 -4.6689 2.6725
-1.7141 -4.4559 2.8836
ATOMIC_POSITIONS crystal
C 0.7505 0.7505 0.7505
Hf 0.0016 0.0016 0.0016
Nb 0.4971 0.4971 0.4971
N 0.2507 0.2507 0.2507
```

Output
SG   R3m
Density of states at the Fermi level   1.6 states/eV/f.u.

---

Least stable = 1

---

1:
## HfCS2N (PBE)

Data for HfCS2N after structural relaxation. Values from VASP.

Quantum ESPRESSO input file:
```
&SYSTEM
  ibrav = 0, nat = 5, ntyp = 4
/
ATOMIC_SPECIES
C 12.01 C.upf
S 32.06 S.upf
N 14.01 N.upf
Hf 178.49 Hf.upf
CELL_PARAMETERS angstrom
4.9825 0.0000 0.0000
0.0000 4.9825 0.0000
0.0000 0.0000 4.1078
ATOMIC_POSITIONS crystal
C 0.5000 0.5000 0.5000
S 0.0000 0.5000 0.0000
N 0.0000 0.0000 0.5000
S 0.5000 0.0000 0.0000
Hf 0.0000 0.0000 0.0000
```

Output
SG   P4/mmm
Density of states at the Fermi level   3.7 states/eV/f.u.

---

2:
## HfCS2N (PBE)

Data for HfCS2N after structural relaxation. Values from VASP.

Quantum ESPRESSO input file:
```
&SYSTEM
  ibrav = 0, nat = 5, ntyp = 4
/
ATOMIC_SPECIES
N 14.01 N.upf
S 32.06 S.upf
C 12.01 C.upf
Hf 178.49 Hf.upf
CELL_PARAMETERS angstrom
-3.2437 -1.1980 2.0420
0.1099 -3.5362 -1.9001
2.2098 -1.3818 2.6995
ATOMIC_POSITIONS crystal
N 0.0000 0.0000 0.5000
S 0.5000 0.0000 0.0000
S 0.0000 0.5000 0.0000
C 0.0000 0.0000 0.0000
Hf 0.5000 0.5000 0.5000
```

Output
SG   P4/mmm
Density of states at the Fermi level   2.2 states/eV/f.u.

---

Least stable = 1

---

1:
## HfTaCN (PBE)

Data for HfTaCN after structural relaxation. Values from VASP.

Quantum ESPRESSO input file:
```
&SYSTEM
  ibrav = 0, nat = 4, ntyp = 4
/
ATOMIC_SPECIES
Hf 178.49 Hf.upf
C 12.01 C.upf
N 14.01 N.upf
Ta 180.95 Ta.upf
CELL_PARAMETERS angstrom
3.1483 -0.0004 -0.0004
-1.5738 2.7267 0.0000
-1.5741 -0.9087 5.4734
ATOMIC_POSITIONS crystal
Hf 0.3141 0.5550 0.8844
C 0.4666 0.1313 0.6131
N 0.1334 0.9647 0.1132
Ta 0.9639 0.3799 0.3589
```

Output
SG   R3m
Density of states at the Fermi level   0.1 states/eV/f.u.

---

2:
## HfTaCN (PBE)

Data for HfTaCN after structural relaxation. Values from VASP.

Quantum ESPRESSO input file:
```
&SYSTEM
  ibrav = 0, nat = 4, ntyp = 4
/
ATOMIC_SPECIES
N 14.01 N.upf
C 12.01 C.upf
Hf 178.49 Hf.upf
Ta 180.95 Ta.upf
CELL_PARAMETERS angstrom
-1.3356 5.0953 1.7465
-4.0400 3.7330 0.7347
-2.8908 3.0412 3.6319
ATOMIC_POSITIONS crystal
N 0.5016 0.5016 0.5016
C 0.9978 0.9978 0.9978
Hf 0.7474 0.7474 0.7474
Ta 0.2533 0.2533 0.2533
```

Output
SG   R3m
Density of states at the Fermi level   0.9 states/eV/f.u.

---

Least stable = 1

---

1:
## HfTe2CN (PBE)

Data for HfTe2CN after structural relaxation. Values from VASP.

Quantum ESPRESSO input file:
```
&SYSTEM
  ibrav = 0, nat = 5, ntyp = 4
/
ATOMIC_SPECIES
N 14.01 N.upf
Te 127.60 Te.upf
C 12.01 C.upf
Hf 178.49 Hf.upf
CELL_PARAMETERS angstrom
6.0579 0.0000 0.0000
0.0000 6.0579 0.0000
0.0000 0.0000 2.6852
ATOMIC_POSITIONS crystal
N 0.0000 0.0000 0.5000
Te 0.5000 0.0000 0.0000
C 0.0000 0.0000 0.0000
Te 0.0000 0.5000 0.0000
Hf 0.5000 0.5000 0.5000
```

Output
SG   P4/mmm
Density of states at the Fermi level   3.6 states/eV/f.u.

---

2:
## HfTe2CN (PBE)

Data for HfTe2CN after structural relaxation. Values from VASP.

Quantum ESPRESSO input file:
```
&SYSTEM
  ibrav = 0, nat = 5, ntyp = 4
/
ATOMIC_SPECIES
Hf 178.49 Hf.upf
N 14.01 N.upf
C 12.01 C.upf
Te 127.60 Te.upf
CELL_PARAMETERS angstrom
-1.5492 -2.5245 -4.8412
5.1826 -2.2633 -0.4782
-1.1961 -3.1690 2.0353
ATOMIC_POSITIONS crystal
Hf 0.0000 0.0000 0.0000
N 0.0000 0.0000 0.5000
C 0.5000 0.5000 0.5000
Te 0.0000 0.5000 0.0000
Te 0.5000 0.0000 0.0000
```

Output
SG   P4/mmm
Density of states at the Fermi level   4.6 states/eV/f.u.

---

Least stable = 2

---

1:
## HfTiCN (PBE)

Data for HfTiCN after structural relaxation. Values from VASP.

Quantum ESPRESSO input file:
```
&SYSTEM
  ibrav = 0, nat = 4, ntyp = 4
/
ATOMIC_SPECIES
Ti 47.87 Ti.upf
C 12.01 C.upf
N 14.01 N.upf
Hf 178.49 Hf.upf
CELL_PARAMETERS angstrom
-0.4807 -2.7653 -4.6610
2.5668 -2.8793 -3.8372
0.4870 -4.8239 -2.4690
ATOMIC_POSITIONS crystal
Ti 0.4984 0.4984 0.4984
C 0.7541 0.7541 0.7541
N 0.2473 0.2473 0.2473
Hf 0.0002 0.0002 0.0002
```

Output
SG   R3m
Density of states at the Fermi level   1.9 states/eV/f.u.

---

2:
## HfTiCN (PBE)

Data for HfTiCN after structural relaxation. Values from VASP.

Quantum ESPRESSO input file:
```
&SYSTEM
  ibrav = 0, nat = 4, ntyp = 4
/
ATOMIC_SPECIES
Hf 178.49 Hf.upf
N 14.01 N.upf
Ti 47.87 Ti.upf
C 12.01 C.upf
CELL_PARAMETERS angstrom
-1.3581 -0.7069 -2.7433
-1.3846 -0.8245 2.6957
-1.2526 5.4225 1.0143
ATOMIC_POSITIONS crystal
Hf 0.3133 0.5546 0.8831
N 0.1340 0.9650 0.1151
Ti 0.9659 0.3810 0.3622
C 0.4647 0.1303 0.6094
```

Output
SG   R3m
Density of states at the Fermi level   1.9 states/eV/f.u.

---

Least stable = 2

---

1:
## HfZrCN (PBE)

Data for HfZrCN after structural relaxation. Values from VASP.

Quantum ESPRESSO input file:
```
&SYSTEM
  ibrav = 0, nat = 4, ntyp = 4
/
ATOMIC_SPECIES
N 14.01 N.upf
C 12.01 C.upf
Zr 91.22 Zr.upf
Hf 178.49 Hf.upf
CELL_PARAMETERS angstrom
5.6780 -0.0038 -0.0024
4.7337 3.1356 -0.0024
4.7337 1.4238 2.7937
ATOMIC_POSITIONS crystal
N 0.2525 0.2525 0.2525
C 0.7480 0.7480 0.7480
Zr 0.4987 0.4987 0.4987
Hf 0.0008 0.0008 0.0008
```

Output
SG   R3m
Density of states at the Fermi level   1.6 states/eV/f.u.

---

2:
## HfZrCN (PBE)

Data for HfZrCN after structural relaxation. Values from VASP.

Quantum ESPRESSO input file:
```
&SYSTEM
  ibrav = 0, nat = 4, ntyp = 4
/
ATOMIC_SPECIES
Hf 178.49 Hf.upf
C 12.01 C.upf
N 14.01 N.upf
Zr 91.22 Zr.upf
CELL_PARAMETERS angstrom
-2.4444 1.3514 -1.6565
-0.5414 -2.6141 1.8469
0.6799 3.2931 4.8583
ATOMIC_POSITIONS crystal
Hf 0.9659 0.3810 0.3613
C 0.4678 0.1318 0.6149
N 0.1316 0.9638 0.1112
Zr 0.3125 0.5541 0.8823
```

Output
SG   R3m
Density of states at the Fermi level   1.6 states/eV/f.u.

---

Least stable = 2

---

1:
## NaHf3C (PBE)

Data for NaHf3C after structural relaxation. Values from VASP.

Quantum ESPRESSO input file:
```
&SYSTEM
  ibrav = 0, nat = 5, ntyp = 3
/
ATOMIC_SPECIES
Hf 178.49 Hf.upf
C 12.01 C.upf
Na 22.99 Na.upf
CELL_PARAMETERS angstrom
-4.5433 -0.7536 1.5320
1.3124 -4.3270 1.7637
1.0920 2.0652 4.2542
ATOMIC_POSITIONS crystal
Hf 0.5000 0.0000 0.0000
Hf 0.0000 0.5000 0.0000
C 0.5000 0.5000 0.5000
Hf 0.0000 0.0000 0.5000
Na 0.0000 0.0000 0.0000
```

Output
SG   Pm-3m
Density of states at the Fermi level   4.5 states/eV/f.u.

---

2:
## NaHf3C (PBE)

Data for NaHf3C after structural relaxation. Values from VASP.

Quantum ESPRESSO input file:
```
&SYSTEM
  ibrav = 0, nat = 5, ntyp = 3
/
ATOMIC_SPECIES
Hf 178.49 Hf.upf
C 12.01 C.upf
Na 22.99 Na.upf
CELL_PARAMETERS angstrom
4.5875 0.0000 0.0000
0.0000 4.5875 0.0000
0.0000 0.0000 4.5875
ATOMIC_POSITIONS crystal
Hf 0.0000 0.5000 0.0000
C 0.0000 0.0000 0.0000
Hf 0.5000 0.0000 0.0000
Hf 0.0000 0.0000 0.5000
Na 0.5000 0.5000 0.5000
```

Output
SG   Pm-3m
Density of states at the Fermi level   4.8 states/eV/f.u.

---

Least stable = 1

---

1:
## Na3HfC (PBE)

Data for Na3HfC after structural relaxation. Values from VASP.

Quantum ESPRESSO input file:
```
&SYSTEM
  ibrav = 0, nat = 5, ntyp = 3
/
ATOMIC_SPECIES
Na 22.99 Na.upf
Hf 178.49 Hf.upf
C 12.01 C.upf
CELL_PARAMETERS angstrom
-4.7306 3.0583 2.2425
0.1466 -3.4351 4.9939
3.7895 3.9506 2.6062
ATOMIC_POSITIONS crystal
Na 0.0000 0.5000 0.0000
Na 0.5000 0.0000 0.0000
Hf 0.0000 0.0000 0.0000
C 0.5000 0.5000 0.5000
Na 0.0000 0.0000 0.5000
```

Output
SG   Pm-3m
Density of states at the Fermi level   11.2 states/eV/f.u.

---

2:
## Na3HfC (PBE)

Data for Na3HfC after structural relaxation. Values from VASP.

Quantum ESPRESSO input file:
```
&SYSTEM
  ibrav = 0, nat = 5, ntyp = 3
/
ATOMIC_SPECIES
Na 22.99 Na.upf
Hf 178.49 Hf.upf
C 12.01 C.upf
CELL_PARAMETERS angstrom
4.8732 0.0000 0.0000
0.0000 4.8732 0.0000
0.0000 0.0000 4.8732
ATOMIC_POSITIONS crystal
Na 0.5000 0.0000 0.0000
Na 0.0000 0.5000 0.0000
Na 0.0000 0.0000 0.5000
Hf 0.5000 0.5000 0.5000
C 0.0000 0.0000 0.0000
```

Output
SG   Pm-3m
Density of states at the Fermi level   3.6 states/eV/f.u.

---

Least stable = 1